Density functional theory data (PBE+U) for crystalline CrBi3F at its relaxed geometry.

Cell: 5.318 5.318 5.318 Å, 90.00 90.00 90.00°
Space group Pm-3m (No. 221)
One atom of each set of equivalent atoms:
Cr 0.000 0.000 0.000 [1 per cell]
Bi 0.000 0.000 0.500 [3 per cell]
F 0.500 0.500 0.500 [1 per cell]

Results
mass density = 7.70 g/cm³
uncorrected energy = -3.94 eV/atom